(1)
Crystalline Ce3ZnC at its relaxed geometry, computed with PBE-GGA.

Cell lengths 6.220, 6.220, 7.914 Å; angles 109.74, 109.74, 49.86 degrees
Atoms (fractional coordinates):
Ce 0.115 0.115 0.227
Ce 0.141 0.141 0.629
Ce 0.365 0.365 0.076
Ce 0.635 0.635 0.924
Ce 0.859 0.859 0.371
Ce 0.885 0.885 0.773
Zn 0.406 0.406 0.561
Zn 0.594 0.594 0.439
C 0.126 0.126 0.926
C 0.874 0.874 0.074

Properties
total magnetic moment = 0.00 μB/f.u.
energy of formation from the pure elements = -166 meV per atom
ρ = 7609 kg/m3
relative energy among the computed polymorphs = 0 meV/atom
energy = -29.131 eV/f.u.

(2)
Crystalline Ce12Zn3C5 at its relaxed geometry, computed with PBE-GGA.

Cell lengths 13.655, 13.655, 13.655 Å; angles 109.47, 109.47, 109.47 degrees
Atoms (fractional coordinates):
Ce 0.021 0.201 0.113
Ce 0.021 0.320 0.908
Ce 0.089 0.701 0.680
Ce 0.089 0.887 0.408
Ce 0.092 0.613 0.411
Ce 0.092 0.979 0.680
Ce 0.113 0.021 0.201
Ce 0.113 0.592 0.911
Ce 0.180 0.201 0.589
Ce 0.180 0.479 0.592
Ce 0.201 0.113 0.021
Ce 0.201 0.589 0.180
Ce 0.299 0.320 0.911
Ce 0.299 0.479 0.387
Ce 0.320 0.908 0.021
Ce 0.320 0.911 0.299
Ce 0.387 0.299 0.479
Ce 0.387 0.589 0.908
Ce 0.408 0.089 0.887
Ce 0.408 0.820 0.521
Ce 0.411 0.092 0.613
Ce 0.411 0.820 0.799
Ce 0.479 0.387 0.299
Ce 0.479 0.592 0.180
Ce 0.521 0.408 0.820
Ce 0.521 0.613 0.701
Ce 0.589 0.180 0.201
Ce 0.589 0.908 0.387
Ce 0.592 0.180 0.479
Ce 0.592 0.911 0.113
Ce 0.613 0.411 0.092
Ce 0.613 0.701 0.521
Ce 0.680 0.089 0.701
Ce 0.680 0.092 0.979
Ce 0.701 0.521 0.613
Ce 0.701 0.680 0.089
Ce 0.799 0.411 0.820
Ce 0.799 0.887 0.979
Ce 0.820 0.521 0.408
Ce 0.820 0.799 0.411
Ce 0.887 0.408 0.089
Ce 0.887 0.979 0.799
Ce 0.908 0.021 0.320
Ce 0.908 0.387 0.589
Ce 0.911 0.113 0.592
Ce 0.911 0.299 0.320
Ce 0.979 0.680 0.092
Ce 0.979 0.799 0.887
Zn 0.125 0.250 0.375
Zn 0.125 0.375 0.750
Zn 0.250 0.375 0.125
Zn 0.250 0.875 0.625
Zn 0.375 0.125 0.250
Zn 0.375 0.750 0.125
Zn 0.625 0.250 0.875
Zn 0.625 0.875 0.750
Zn 0.750 0.125 0.375
Zn 0.750 0.625 0.875
Zn 0.875 0.625 0.250
Zn 0.875 0.750 0.625
C 0.000 0.000 0.000
C 0.000 0.000 0.500
C 0.000 0.500 0.000
C 0.000 0.500 0.500
C 0.125 0.750 0.875
C 0.125 0.875 0.250
C 0.250 0.125 0.875
C 0.250 0.625 0.375
C 0.375 0.250 0.625
C 0.375 0.625 0.750
C 0.500 0.000 0.000
C 0.500 0.000 0.500
C 0.500 0.500 0.000
C 0.500 0.500 0.500
C 0.625 0.375 0.250
C 0.625 0.750 0.375
C 0.750 0.375 0.625
C 0.750 0.875 0.125
C 0.875 0.125 0.750
C 0.875 0.250 0.125

Properties
total magnetic moment = 6.92 μB/f.u.
energy of formation from the pure elements = 51 meV per atom
ρ = 6567 kg/m3
energy = -120.137 eV/f.u.

(3)
Crystalline Ce3ZnC at its relaxed geometry, computed with PBE-GGA.

Cell lengths 4.915, 4.915, 4.915 Å; angles 90.00, 90.00, 90.00 degrees
Atoms (fractional coordinates):
Ce 0.000 0.000 0.500
Ce 0.000 0.500 0.000
Ce 0.500 0.000 0.000
Zn 0.500 0.500 0.500
C 0.000 0.000 0.000

Properties
total magnetic moment = 1.59 μB/f.u.
energy of formation from the pure elements = -114 meV per atom
ρ = 6962 kg/m3
relative energy among the computed polymorphs = 52 meV/atom
energy = -28.871 eV/f.u.

(4)
Crystalline CeZrC2 at its relaxed geometry, computed with PBE-GGA.

Cell lengths 6.172, 6.172, 6.172 Å; angles 32.66, 32.66, 32.66 degrees
Atoms (fractional coordinates):
Ce 0.000 0.000 0.000
Zr 0.500 0.500 0.500
C 0.243 0.243 0.243
C 0.757 0.757 0.757

Properties
total magnetic moment = 0.00 μB/f.u.
energy of formation from the pure elements = -376 meV per atom
ρ = 6961 kg/m3
relative energy among the computed polymorphs = 0 meV/atom
energy = -34.434 eV/f.u.

(5)
Crystalline CeZrC at its relaxed geometry, computed with PBE-GGA.

Cell lengths 3.393, 3.393, 6.071 Å; angles 90.00, 90.00, 120.00 degrees
Atoms (fractional coordinates):
Ce 0.000 0.000 0.000
Zr 0.667 0.333 0.448
C 0.333 0.667 0.255

Properties
total magnetic moment = 0.08 μB/f.u.
energy of formation from the pure elements = -297 meV per atom
ρ = 6677 kg/m3
relative energy among the computed polymorphs = 0 meV/atom
energy = -24.597 eV/f.u.

(6)
Crystalline CeZrC at its relaxed geometry, computed with PBE-GGA.

Cell lengths 5.848, 5.848, 5.848 Å; angles 147.40, 147.40, 46.78 degrees
Atoms (fractional coordinates):
Ce 0.000 0.000 0.000
Zr 0.727 0.727 0.000
C 0.242 0.242 0.000

Properties
total magnetic moment = 0.87 μB/f.u.
energy of formation from the pure elements = 98 meV per atom
ρ = 6983 kg/m3
relative energy among the computed polymorphs = 395 meV/atom
energy = -23.413 eV/f.u.

(7)
Crystalline CeZr2C at its relaxed geometry, computed with PBE-GGA.

Cell lengths 9.113, 9.113, 9.113 Å; angles 20.58, 20.58, 20.58 degrees
Atoms (fractional coordinates):
Ce 0.000 0.000 0.000
Zr 0.119 0.119 0.119
Zr 0.881 0.881 0.881
C 0.500 0.500 0.500

Properties
total magnetic moment = 0.00 μB/f.u.
energy of formation from the pure elements = -307 meV per atom
ρ = 6784 kg/m3
energy = -33.483 eV/f.u.

(8)
Crystalline CeZrC2 at its relaxed geometry, computed with PBE-GGA.

Cell lengths 6.252, 6.252, 6.252 Å; angles 32.15, 32.15, 32.15 degrees
Atoms (fractional coordinates):
Ce 0.000 0.000 0.000
Zr 0.828 0.828 0.828
C 0.413 0.413 0.413
C 0.566 0.566 0.566

Properties
total magnetic moment = 0.00 μB/f.u.
energy of formation from the pure elements = -97 meV per atom
ρ = 6894 kg/m3
relative energy among the computed polymorphs = 279 meV/atom
energy = -33.319 eV/f.u.

(9)
Crystalline CeZrC2 at its relaxed geometry, computed with PBE-GGA.

Cell lengths 3.480, 5.665, 6.144 Å; angles 90.00, 90.00, 90.00 degrees
Atoms (fractional coordinates):
Ce 0.250 0.250 0.090
Ce 0.750 0.750 0.910
Zr 0.250 0.750 0.426
Zr 0.750 0.250 0.574
C 0.250 0.015 0.731
C 0.250 0.485 0.731
C 0.750 0.515 0.269
C 0.750 0.985 0.269

Properties
total magnetic moment = 0.00 μB/f.u.
energy of formation from the pure elements = -271 meV per atom
ρ = 7001 kg/m3
relative energy among the computed polymorphs = 105 meV/atom
energy = -34.015 eV/f.u.

(10)
Crystalline Ce2ZrC at its relaxed geometry, computed with PBE-GGA.

Cell lengths 9.255, 9.255, 9.255 Å; angles 20.99, 20.99, 20.99 degrees
Atoms (fractional coordinates):
Ce 0.112 0.112 0.112
Ce 0.888 0.888 0.888
Zr 0.000 0.000 0.000
C 0.500 0.500 0.500

Properties
total magnetic moment = 0.75 μB/f.u.
energy of formation from the pure elements = 139 meV per atom
ρ = 7148 kg/m3
energy = -29.082 eV/f.u.

(11)
Crystalline CoCCl2 at its relaxed geometry, computed with PBE-GGA.

Cell lengths 7.385, 7.385, 7.385 Å; angles 25.75, 25.75, 25.75 degrees
Atoms (fractional coordinates):
Co 0.000 0.000 0.000
C 0.500 0.500 0.500
Cl 0.098 0.098 0.098
Cl 0.902 0.902 0.902

Properties
total magnetic moment = 1.00 μB/f.u.
ρ = 3519 kg/m3
formation energy without anion corrections = 6.17 eV/f.u.
relative energy among the computed polymorphs = 199 meV/atom
energy = -13.855 eV/f.u.

(12)
Crystalline CoC2Cl at its relaxed geometry, computed with PBE-GGA.

Cell lengths 3.860, 3.860, 3.860 Å; angles 60.00, 60.00, 60.00 degrees
Atoms (fractional coordinates):
Co 0.000 0.000 0.000
C 0.250 0.250 0.250
C 0.750 0.750 0.750
Cl 0.500 0.500 0.500

Properties
total magnetic moment = 0.89 μB/f.u.
ρ = 4836 kg/m3
formation energy without anion corrections = 11.44 eV/f.u.
relative energy among the computed polymorphs = 1354 meV/atom
energy = -15.957 eV/f.u.

(13)
Crystalline CoCCl2 at its relaxed geometry, computed with PBE-GGA.

Cell lengths 7.655, 7.655, 7.655 Å; angles 25.16, 25.16, 25.16 degrees
Atoms (fractional coordinates):
Co 0.000 0.000 0.000
C 0.500 0.500 0.500
Cl 0.398 0.398 0.398
Cl 0.602 0.602 0.602

Properties
total magnetic moment = 2.45 μB/f.u.
ρ = 3302 kg/m3
formation energy without anion corrections = 5.37 eV/f.u.
relative energy among the computed polymorphs = 0 meV/atom
energy = -14.653 eV/f.u.

(14)
Crystalline CoCCl2 at its relaxed geometry, computed with PBE-GGA.

Cell lengths 4.339, 4.339, 4.339 Å; angles 60.00, 60.00, 60.00 degrees
Atoms (fractional coordinates):
Co 0.000 0.000 0.000
C 0.500 0.500 0.500
Cl 0.250 0.250 0.250
Cl 0.750 0.750 0.750

Properties
total magnetic moment = 1.15 μB/f.u.
ρ = 4078 kg/m3
formation energy without anion corrections = 6.77 eV/f.u.
relative energy among the computed polymorphs = 351 meV/atom
energy = -13.251 eV/f.u.

(15)
Crystalline CoCCl2 at its relaxed geometry, computed with PBE-GGA.

Cell lengths 5.959, 5.959, 5.959 Å; angles 118.76, 118.76, 92.16 degrees
Atoms (fractional coordinates):
Co 0.000 0.000 0.000
Co 0.750 0.250 0.500
C 0.250 0.750 0.500
C 0.500 0.500 0.000
Cl 0.090 0.625 0.965
Cl 0.375 0.340 0.465
Cl 0.660 0.125 0.035
Cl 0.875 0.910 0.535

Properties
total magnetic moment = 1.00 μB/f.u.
ρ = 3094 kg/m3
formation energy without anion corrections = 5.64 eV/f.u.
relative energy among the computed polymorphs = 68 meV/atom
energy = -14.380 eV/f.u.

(16)
Crystalline CoC2Cl at its relaxed geometry, computed with PBE-GGA.

Cell lengths 5.692, 5.692, 5.692 Å; angles 128.21, 128.21, 76.28 degrees
Atoms (fractional coordinates):
Co 0.000 0.000 0.000
Co 0.750 0.250 0.500
C 0.375 0.247 0.372
C 0.753 0.125 0.128
C 0.875 0.003 0.628
C 0.997 0.625 0.872
Cl 0.250 0.750 0.500
Cl 0.500 0.500 0.000

Properties
total magnetic moment = 0.00 μB/f.u.
ρ = 3555 kg/m3
formation energy without anion corrections = 6.03 eV/f.u.
relative energy among the computed polymorphs = 0 meV/atom
energy = -21.373 eV/f.u.

(17)
Crystalline Cs2CoCCl at its relaxed geometry, computed with PBE-GGA.

Cell lengths 6.426, 6.426, 3.684 Å; angles 90.00, 90.00, 90.00 degrees
Atoms (fractional coordinates):
Cs 0.000 0.500 0.000
Cs 0.500 0.000 0.000
Co 0.000 0.000 0.500
C 0.000 0.000 0.000
Cl 0.500 0.500 0.500

Properties
total magnetic moment = 0.80 μB/f.u.
ρ = 4063 kg/m3
formation energy without anion corrections = -0.13 eV/f.u.
energy = -20.015 eV/f.u.